Entry from Alexandria: an optimized crystal structure of CrIr2W (PBE).

```
data_CrIr2W
_chemical_formula_sum 'Cr2 Ir4 W2'
_space_group_name_H-M_alt 'P 1'
_space_group_IT_number 1
_cell_length_a 9.093
_cell_length_b 2.729
_cell_length_c 4.687
_cell_angle_alpha 90.00
_cell_angle_beta 100.27
_cell_angle_gamma 90.00
loop_
_space_group_symop_operation_xyz
'x,y,z'
loop_
_atom_site_label
_atom_site_type_symbol
_atom_site_fract_x
_atom_site_fract_y
_atom_site_fract_z
Cr1 Cr 0.000 0.000 0.000
Cr2 Cr 0.500 0.500 0.000
Ir1 Ir 0.247 0.500 0.243
Ir2 Ir 0.253 0.000 0.757
Ir3 Ir 0.747 0.000 0.243
Ir4 Ir 0.753 0.500 0.757
W1 W 0.000 0.500 0.500
W2 W 0.500 0.000 0.500
```

Output
**Formation energy**: -69 meV per atom
**Magnetic moment**: 0.1252 μB per atom
**DOS(E_F)**: 3.48 states/eV/f.u.
**Symmetry**: C2/m (12)
**E above lowest polymorph**: 172 meV/atom